# 1
{
  "formula": "TbTmCoAu",
  "functional": "PBE",
  "state": "optimized geometry",
  "vol_a3_per_atom": 20.9,
  "e_form_ev_per_atom": -0.457,
  "dos_ef_per_ev_fu": 2.99,
  "m_tot_mub_per_fu": 0.50,
  "lattice": [[0.0000, 3.4705, 3.4705], [3.4705, 0.0000, 3.4705], [3.4705, 3.4705, 0.0000]],
  "species": ["Tb", "Tm", "Co", "Au"],
  "fractional_positions": [[0.0000, 0.0000, 0.0000], [0.5000, 0.5000, 0.5000], [0.2500, 0.2500, 0.2500], [0.7500, 0.7500, 0.7500]]
}

=====

# 2
{
  "formula": "AcCl3O",
  "functional": "PBE",
  "state": "optimized geometry",
  "vol_a3_per_atom": 38.8,
  "formation_energy_uncorrected_ev_per_atom": -1.880,
  "dos_ef_per_ev_fu": 0.00,
  "m_tot_mub_per_fu": 0.98,
  "lattice": [[4.0075, 2.3138, 6.9786], [-4.0075, 2.3138, 6.9786], [0.0000, -4.6275, 6.9786]],
  "species": ["Ac", "Ac", "Cl", "Cl", "Cl", "Cl", "Cl", "Cl", "O", "O"],
  "fractional_positions": [[0.1665, 0.1665, 0.1665], [0.8335, 0.8335, 0.8335], [0.0836, 0.0836, 0.5827], [0.0836, 0.5827, 0.0836], [0.4173, 0.9164, 0.9164], [0.5827, 0.0836, 0.0836], [0.9164, 0.4173, 0.9164], [0.9164, 0.9164, 0.4173], [0.4706, 0.4706, 0.4706], [0.5294, 0.5294, 0.5294]]
}

=====

# 3
{
  "formula": "LiLaZn3",
  "functional": "PBE",
  "state": "optimized geometry",
  "vol_a3_per_atom": 20.2,
  "e_form_ev_per_atom": -0.120,
  "polymorph_energy_kj_per_mol_fu": 53.0,
  "dos_ef_per_ev_fu": 2.13,
  "m_tot_mub_per_fu": 0.00,
  "lattice": [[4.6565, 0.0000, 0.0000], [0.0000, 4.6565, 0.0000], [0.0000, 0.0000, 4.6565]],
  "species": ["Li", "La", "Zn", "Zn", "Zn"],
  "fractional_positions": [[0.0000, 0.0000, 0.0000], [0.5000, 0.5000, 0.5000], [0.0000, 0.0000, 0.5000], [0.0000, 0.5000, 0.0000], [0.5000, 0.0000, 0.0000]]
}

=====

# 4
{
  "formula": "Pr5Sm2ErTh",
  "functional": "PBE",
  "state": "optimized geometry",
  "vol_a3_per_atom": 35.7,
  "e_form_ev_per_atom": 0.135,
  "dos_ef_per_ev_fu": 12.63,
  "m_tot_mub_per_fu": 0.00,
  "lattice": [[2.7387, -11.0131, 0.0000], [2.7387, 11.0131, 0.0000], [0.0000, 0.0000, 10.6383]],
  "species": ["Pr", "Pr", "Pr", "Pr", "Pr", "Pr", "Pr", "Pr", "Pr", "Pr", "Sm", "Sm", "Sm", "Sm", "Er", "Er", "Th", "Th"],
  "fractional_positions": [[0.0000, 0.0000, 0.0000], [0.0000, 0.0000, 0.5000], [0.1278, 0.8722, 0.7500], [0.2227, 0.7773, 0.0581], [0.2227, 0.7773, 0.4419], [0.4987, 0.5013, 0.2500], [0.5013, 0.4987, 0.7500], [0.7773, 0.2227, 0.5581], [0.7773, 0.2227, 0.9419], [0.8722, 0.1278, 0.2500], [0.3874, 0.6126, 0.5041], [0.3874, 0.6126, 0.9959], [0.6126, 0.3874, 0.0041], [0.6126, 0.3874, 0.4959], [0.1023, 0.8977, 0.2500], [0.8977, 0.1023, 0.7500], [0.2893, 0.7107, 0.7500], [0.7107, 0.2893, 0.2500]]
}

=====

# 5
{
  "formula": "CeTh2Sn",
  "functional": "PBE",
  "state": "optimized geometry",
  "vol_a3_per_atom": 29.8,
  "e_form_ev_per_atom": -0.213,
  "polymorph_energy_kj_per_mol_fu": 46.1,
  "dos_ef_per_ev_fu": 7.41,
  "m_tot_mub_per_fu": 0.67,
  "lattice": [[4.1465, 0.0000, 0.0000], [0.0000, 4.1465, 0.0000], [0.0000, 0.0000, 6.9443]],
  "species": ["Ce", "Th", "Th", "Sn"],
  "fractional_positions": [[0.0000, 0.0000, 0.0000], [0.5000, 0.5000, 0.2638], [0.5000, 0.5000, 0.7362], [0.0000, 0.0000, 0.5000]]
}

=====

# 6
{
  "formula": "SmY2Zn2",
  "functional": "PBE",
  "state": "optimized geometry",
  "vol_a3_per_atom": 25.8,
  "e_form_ev_per_atom": -0.236,
  "polymorph_energy_kj_per_mol_fu": 14.5,
  "dos_ef_per_ev_fu": 6.46,
  "m_tot_mub_per_fu": 0.00,
  "lattice": [[7.4697, 0.0000, 0.0000], [0.0000, 7.4697, 0.0000], [0.0000, 0.0000, 4.6310]],
  "species": ["Sm", "Sm", "Y", "Y", "Y", "Y", "Zn", "Zn", "Zn", "Zn"],
  "fractional_positions": [[0.0000, 0.0000, 0.0000], [0.5000, 0.5000, 0.0000], [0.1702, 0.3298, 0.5000], [0.3298, 0.8298, 0.5000], [0.6702, 0.1702, 0.5000], [0.8298, 0.6702, 0.5000], [0.1204, 0.6204, 0.0000], [0.3796, 0.1204, 0.0000], [0.6204, 0.8796, 0.0000], [0.8796, 0.3796, 0.0000]]
}

=====

# 7
{
  "formula": "Dy3PaTl3Se8",
  "functional": "PBE",
  "state": "optimized geometry",
  "vol_a3_per_atom": 31.5,
  "formation_energy_uncorrected_ev_per_atom": -1.381,
  "dos_ef_per_ev_fu": 4.14,
  "m_tot_mub_per_fu": 1.05,
  "lattice": [[4.1725, 2.4090, 7.8379], [-4.1725, 2.4090, 7.8379], [0.0000, -4.8180, 7.8379]],
  "species": ["Dy", "Dy", "Dy", "Pa", "Tl", "Tl", "Tl", "Se", "Se", "Se", "Se", "Se", "Se", "Se", "Se"],
  "fractional_positions": [[0.0000, 0.5000, 0.5000], [0.5000, 0.0000, 0.5000], [0.5000, 0.5000, 0.0000], [0.0000, 0.0000, 0.0000], [0.0000, 0.0000, 0.5000], [0.0000, 0.5000, 0.0000], [0.5000, 0.0000, 0.0000], [0.2333, 0.2333, 0.7353], [0.2333, 0.7353, 0.2333], [0.2647, 0.7667, 0.7667], [0.2657, 0.2657, 0.2657], [0.7343, 0.7343, 0.7343], [0.7353, 0.2333, 0.2333], [0.7667, 0.2647, 0.7667], [0.7667, 0.7667, 0.2647]]
}

=====

# 8
{
  "formula": "KAl3Zn",
  "functional": "PBE",
  "state": "optimized geometry",
  "vol_a3_per_atom": 42.5,
  "e_form_ev_per_atom": 1.597,
  "polymorph_energy_kj_per_mol_fu": 555.7,
  "dos_ef_per_ev_fu": 7.56,
  "m_tot_mub_per_fu": 0.00,
  "lattice": [[5.9660, 0.0000, 0.0000], [0.0000, 5.9660, 0.0000], [0.0000, 0.0000, 5.9660]],
  "species": ["K", "Al", "Al", "Al", "Zn"],
  "fractional_positions": [[0.0000, 0.0000, 0.0000], [0.0000, 0.0000, 0.5000], [0.0000, 0.5000, 0.0000], [0.5000, 0.0000, 0.0000], [0.5000, 0.5000, 0.5000]]
}

=====

# 9
{
  "formula": "Na2PuInI6",
  "functional": "PBE",
  "state": "optimized geometry",
  "vol_a3_per_atom": 43.1,
  "formation_energy_uncorrected_ev_per_atom": -1.006,
  "dos_ef_per_ev_fu": 13.02,
  "m_tot_mub_per_fu": 5.00,
  "lattice": [[4.0614, 2.3449, 7.5428], [-4.0614, 2.3449, 7.5428], [0.0000, -4.6897, 7.5428]],
  "species": ["Na", "Na", "Pu", "In", "I", "I", "I", "I", "I", "I"],
  "fractional_positions": [[0.0000, 0.0000, 0.0000], [0.4888, 0.4888, 0.4888], [0.6760, 0.6760, 0.6760], [0.1860, 0.1860, 0.1860], [0.0673, 0.4235, 0.7624], [0.2780, 0.8750, 0.6150], [0.4235, 0.7624, 0.0673], [0.6150, 0.2780, 0.8750], [0.7624, 0.0673, 0.4235], [0.8750, 0.6150, 0.2780]]
}

=====

# 10
{
  "formula": "LaTbCd3",
  "functional": "PBE",
  "state": "optimized geometry",
  "vol_a3_per_atom": 26.9,
  "e_form_ev_per_atom": -0.325,
  "dos_ef_per_ev_fu": 4.76,
  "m_tot_mub_per_fu": 0.15,
  "lattice": [[1.7648, -15.0421, 0.0000], [1.7648, 15.0421, 0.0000], [0.0000, 0.0000, 5.0728]],
  "species": ["La", "La", "Tb", "Tb", "Cd", "Cd", "Cd", "Cd", "Cd", "Cd"],
  "fractional_positions": [[0.0753, 0.9247, 0.7500], [0.9247, 0.0753, 0.2500], [0.2142, 0.7858, 0.2500], [0.7858, 0.2142, 0.7500], [0.3220, 0.6780, 0.2500], [0.3764, 0.6236, 0.7500], [0.4757, 0.5243, 0.7500], [0.5243, 0.4757, 0.2500], [0.6236, 0.3764, 0.2500], [0.6780, 0.3220, 0.7500]]
}

=====

# 11
{
  "formula": "CrFe2HgN",
  "functional": "PBE",
  "state": "optimized geometry",
  "vol_a3_per_atom": 12.1,
  "formation_energy_uncorrected_ev_per_atom": 0.050,
  "dos_ef_per_ev_fu": 4.53,
  "m_tot_mub_per_fu": 5.49,
  "lattice": [[3.9657, 0.0000, 0.0000], [0.0000, 3.9657, 0.0000], [0.0000, 0.0000, 3.8581]],
  "species": ["Cr", "Fe", "Fe", "Hg", "N"],
  "fractional_positions": [[0.0000, 0.0000, 0.0000], [0.0000, 0.5000, 0.5000], [0.5000, 0.0000, 0.5000], [0.5000, 0.5000, 0.0000], [0.0000, 0.0000, 0.5000]]
}

=====

# 12
{
  "formula": "CsIn2Br4",
  "functional": "PBE",
  "state": "optimized geometry",
  "vol_a3_per_atom": 42.1,
  "formation_energy_uncorrected_ev_per_atom": -1.015,
  "polymorph_energy_kj_per_mol_fu": 0.0,
  "dos_ef_per_ev_fu": 0.00,
  "m_tot_mub_per_fu": 0.00,
  "lattice": [[8.7596, 0.0000, 0.0000], [-2.1517, 8.8684, 0.0000], [-2.8093, -4.7218, 7.5958]],
  "species": ["Cs", "Cs", "In", "In", "In", "In", "Br", "Br", "Br", "Br", "Br", "Br", "Br", "Br"],
  "fractional_positions": [[0.0000, 0.0000, 0.0000], [0.4393, 0.7592, 0.2285], [0.2009, 0.8327, 0.6054], [0.3458, 0.4028, 0.6669], [0.7160, 0.3709, 0.0974], [0.7177, 0.3778, 0.5913], [0.0730, 0.4717, 0.2485], [0.0993, 0.5765, 0.7917], [0.2006, 0.0153, 0.4003], [0.3588, 0.2825, 0.9531], [0.6746, 0.1296, 0.1946], [0.6798, 0.1246, 0.7826], [0.7419, 0.6210, 0.0106], [0.7632, 0.6280, 0.4259]]
}